# 1
VASP calculation (PBE-GGA) on SrCa2Rh after structural relaxation.

a b c (Å): 6.466 6.466 3.677
angles (deg): 76.38 76.38 118.89
Atoms (fractional coordinates):
1 Sr 0.000 0.500 0.500
2 Ca 0.000 0.000 0.000
3 Ca 0.500 0.500 0.000
4 Rh 0.500 0.000 0.500


# 2
VASP calculation (PBE-GGA) on CsScTi2 after structural relaxation.

a b c (Å): 5.277 5.277 5.277
angles (deg): 60.00 60.00 60.00
Atoms (fractional coordinates):
1 Cs 0.500 0.500 0.500
2 Sc 0.000 0.000 0.000
3 Ti 0.250 0.250 0.250
4 Ti 0.750 0.750 0.750


Excess energy over the best structure of this formula in the dataset for every record listed, in sequence, given in kJ/mol of atoms: 51.6 0.0.
Energy relative to the elements for every record listed, in sequence, given in meV per atom: 248 1266.